# ZrTi4Zn5 | Alexandria via LeMat-Bulk | GGA-PBE | relaxed
data_ZrTi4Zn5
_chemical_formula_sum 'Zr1 Ti4 Zn5'
_symmetry_space_group_name_H-M 'P 4/m m m'
_symmetry_Int_Tables_number 123
_symmetry_space_group_name_Hall '-P 4 2'
_cell_length_a 3.185
_cell_length_b 3.185
_cell_length_c 15.924
_cell_angle_alpha 90.00
_cell_angle_beta 90.00
_cell_angle_gamma 90.00
loop_
_atom_site_label
_atom_site_type_symbol
_atom_site_fract_x
_atom_site_fract_y
_atom_site_fract_z
Zr1 Zr 0.000 0.000 0.000
Ti1 Ti 0.000 0.000 0.209
Ti2 Ti 0.000 0.000 0.403
Zn1 Zn 0.500 0.500 0.115
Zn2 Zn 0.500 0.500 0.306
Zn3 Zn 0.500 0.500 0.500
# **Crystal system**: tetragonal
# **DFT formation energy**: -201 meV/atom